(1)
Crystalline BaTl3Bi at its relaxed geometry. Source: Alexandria, functional GGA-PBE. Values from VASP.

formation energy from the elements = 115 meV/atom
DOS(E_F) = 0.67 states/eV per atom
energy above the most stable polymorph in this dataset = 2.01 eV per formula unit

Structure (Quantum ESPRESSO input):
```
&SYSTEM
  ibrav = 0, nat = 5, ntyp = 3
/
ATOMIC_SPECIES
Ba 137.33 Ba.upf
Tl 204.38 Tl.upf
Bi 208.98 Bi.upf
ATOMIC_POSITIONS crystal
Ba 0.0000 0.0000 0.0000
Tl 0.0000 0.5000 0.5000
Tl 0.5000 0.0000 0.5000
Tl 0.5000 0.5000 0.0000
Bi 0.5000 0.5000 0.5000
CELL_PARAMETERS angstrom
6.0439 0.0000 0.0000
0.0000 6.0439 0.0000
0.0000 0.0000 6.0439
```



(2)
Crystalline AcLaPuCd at its relaxed geometry. Source: Alexandria, functional GGA-PBE. Values from VASP.

formation energy from the elements = 72 meV/atom
DOS(E_F) = 4.32 states/eV per atom

Structure (Quantum ESPRESSO input):
```
&SYSTEM
  ibrav = 0, nat = 4, ntyp = 4
/
ATOMIC_SPECIES
Ac 227.00 Ac.upf
La 138.91 La.upf
Pu 244.00 Pu.upf
Cd 112.41 Cd.upf
ATOMIC_POSITIONS crystal
Ac 0.0000 0.0000 0.0000
La 0.5000 0.5000 0.5000
Pu 0.2500 0.2500 0.2500
Cd 0.7500 0.7500 0.7500
CELL_PARAMETERS angstrom
0.0000 4.0345 4.0345
4.0345 0.0000 4.0345
4.0345 4.0345 0.0000
```



(3)
Crystalline Ca2ZrTc2 at its relaxed geometry. Source: Alexandria, functional GGA-PBE. Values from VASP.

formation energy from the elements = 707 meV/atom
DOS(E_F) = 0.56 states/eV per atom
energy above the most stable polymorph in this dataset = 1.86 eV per formula unit

Structure (Quantum ESPRESSO input):
```
&SYSTEM
  ibrav = 0, nat = 5, ntyp = 3
/
ATOMIC_SPECIES
Ca 40.08 Ca.upf
Zr 91.22 Zr.upf
Tc 98.00 Tc.upf
ATOMIC_POSITIONS crystal
Ca 0.2500 0.7500 0.5000
Ca 0.7500 0.2500 0.5000
Zr 0.0000 0.0000 0.0000
Tc 0.4214 0.4214 0.0000
Tc 0.5786 0.5786 0.0000
CELL_PARAMETERS angstrom
-2.0514 2.0514 6.8851
2.0514 -2.0514 6.8851
2.0514 2.0514 -6.8851
```